The following is a PBE calculation of a relaxed structure of Mg2TcTe, from Alexandria via LeMat-Bulk.

Cell lengths 3.145, 3.145, 9.536 Å; angles 90.00, 90.00, 114.95 degrees
Fractional coordinates of all 4 atoms:
Mg 0.000 0.000 0.000
Mg 0.500 0.500 0.271
Tc 0.500 0.500 0.776
Te 0.000 0.000 0.566

ΔE_f (raw): 131 kJ/mol of formula units
Calculated volume: 86 Å³ per cell
Calculated total energy: -3.835 eV/atom